Entry from Alexandria via LeMat-Bulk: an optimized crystal structure of ZnCr2PbF (PBE with a Hubbard U).

```
ZnCr2PbF
1.0
4.4289 0.0000 0.0000
0.0000 4.4289 0.0000
0.0000 0.0000 5.3694
Zn Cr Pb F
1 2 1 1
direct
0.0000 0.0000 0.0000
0.0000 0.5000 0.5000
0.5000 0.0000 0.5000
0.5000 0.5000 0.0000
0.5000 0.5000 0.5000
```

* DFT total energy: -4.457 eV/atom